(1)
Entry from the Alexandria database: a geometry-optimized TcTeRu2 structure (PBE).

```
data_TcTeRu2
_chemical_formula_sum 'Tc1 Te1 Ru2'
_space_group_name_H-M_alt 'P 4/m m m'
_space_group_IT_number 123
_space_group_name_Hall '-P 4 2'
_cell_length_a 4.6475
_cell_length_b 4.6475
_cell_length_c 2.9936
_cell_angle_alpha 90.00
_cell_angle_beta 90.00
_cell_angle_gamma 90.00
loop_
_atom_site_label
_atom_site_type_symbol
_atom_site_fract_x
_atom_site_fract_y
_atom_site_fract_z
_atom_site_occupancy
Tc1 Tc 0.0000 0.0000 0.0000 1
Te1 Te 0.5000 0.5000 0.0000 1
Ru1 Ru 0.0000 0.5000 0.5000 1
```

Summary:
E_tot = -7.47 eV per atom


(2)
Entry from the Alexandria database: a geometry-optimized Ta2SnHg structure (PBE).

```
data_Ta2SnHg
_chemical_formula_sum 'Ta8 Sn4 Hg4'
_space_group_name_H-M_alt 'I -4 2 d'
_space_group_IT_number 122
_space_group_name_Hall 'I -4 2bw'
_cell_length_a 7.6471
_cell_length_b 7.6471
_cell_length_c 5.8271
_cell_angle_alpha 90.00
_cell_angle_beta 90.00
_cell_angle_gamma 90.00
loop_
_atom_site_label
_atom_site_type_symbol
_atom_site_fract_x
_atom_site_fract_y
_atom_site_fract_z
_atom_site_occupancy
Ta1 Ta 0.2487 0.2500 0.1250 1
Sn1 Sn 0.0000 0.0000 0.0000 1
Hg1 Hg 0.0000 0.0000 0.5000 1
```

Summary:
Energy relative to the elements = 0.666 eV/atom


(3)
Entry from the Alexandria database: a geometry-optimized PrAl2Fe9 structure (PBE).

```
data_PrAl2Fe9
_chemical_formula_sum 'Pr2 Al4 Fe18'
_space_group_name_H-M_alt 'P 4/m b m'
_space_group_IT_number 127
_space_group_name_Hall '-P 4 2ab'
_cell_length_a 8.2023
_cell_length_b 8.2023
_cell_length_c 4.7922
_cell_angle_alpha 90.00
_cell_angle_beta 90.00
_cell_angle_gamma 90.00
loop_
_atom_site_label
_atom_site_type_symbol
_atom_site_fract_x
_atom_site_fract_y
_atom_site_fract_z
_atom_site_occupancy
Pr1 Pr 0.0000 0.0000 0.0000 1
Al1 Al 0.1188 0.3812 0.0000 1
Fe1 Fe 0.0000 0.5000 0.5000 1
Fe2 Fe 0.0686 0.2169 0.5000 1
Fe3 Fe 0.1760 0.6760 0.2399 1
```

Summary:
Energy relative to the elements = -0.087 eV/atom


(4)
Entry from the Alexandria database: a geometry-optimized YSn3Ir structure (PBE).

```
data_YSn3Ir
_chemical_formula_sum 'Y8 Sn24 Ir8'
_space_group_name_H-M_alt 'C 1 2/c 1'
_space_group_IT_number 15
_space_group_name_Hall '-C 2yc'
_cell_length_a 12.3318
_cell_length_b 6.0944
_cell_length_c 13.1201
_cell_angle_alpha 90.00
_cell_angle_beta 97.17
_cell_angle_gamma 90.00
loop_
_atom_site_label
_atom_site_type_symbol
_atom_site_fract_x
_atom_site_fract_y
_atom_site_fract_z
_atom_site_occupancy
Y1 Y 0.0775 0.1170 0.1309 1
Sn1 Sn 0.0657 0.3695 0.5685 1
Sn2 Sn 0.1698 0.4445 0.3183 1
Sn3 Sn 0.1824 0.0640 0.8554 1
Ir1 Ir 0.0000 0.2668 0.7500 1
Ir2 Ir 0.2500 0.2500 0.5000 1
```

Summary:
Energy relative to the elements = -0.381 eV/atom


Total magnetic moment for every record listed, in sequence, given in μB/cell: 2.10; 0.00; 31.51; 0.00.